1.
TbPuHf after structural relaxation, computed with PBE-GGA.

Cell lengths 3.3510, 3.3510, 48.9665 Å; angles 90.00, 90.00, 120.00 degrees
Space group R-3m (No. 166, hexagonal axes)
Unique sites:
Tb: 0.0000 0.0000 0.1364 (multiplicity 6)
Pu: 0.0000 0.0000 0.4107 (multiplicity 6)
Hf: 0.0000 0.0000 0.3087 (multiplicity 6)

Values from the calculation:
Electronic total energy, eV/atom: -9.478
E_form, kJ/mol of formula units: 46
Magnetic moment, μB/f.u.: 5.567
Crystal system: trigonal

***

2.
LiSn2Ge2Pd5 after structural relaxation, computed with PBE-GGA.

Cell lengths 10.035, 10.035, 3.487 Å; angles 90.00, 90.00, 90.00 degrees
Space group P4/mbm (No. 127)
Unique sites:
Li: 0.000 0.000 0.000 (multiplicity 2)
Sn: 0.175 0.325 0.000 (multiplicity 4)
Ge: 0.136 0.636 0.000 (multiplicity 4)
Pd: 0.000 0.500 0.500 (multiplicity 2)
Pd: 0.009 0.790 0.500 (multiplicity 8)

Values from the calculation:
Electronic total energy, eV/atom: -4.825
E_form, kJ/mol of formula units: -302
Magnetic moment, μB/f.u.: 0.000
Crystal system: tetragonal

***

3.
AcDySiHg after structural relaxation, computed with PBE-GGA.

Cell lengths 7.588, 7.588, 7.588 Å; angles 90.00, 90.00, 90.00 degrees
Space group F-43m (No. 216)
Unique sites:
Ac: 0.000 0.000 0.000 (multiplicity 4)
Dy: 0.000 0.000 0.500 (multiplicity 4)
Si: 0.250 0.250 0.750 (multiplicity 4)
Hg: 0.250 0.250 0.250 (multiplicity 4)

Values from the calculation:
Electronic total energy, eV/atom: -3.987
Formation energy from raw total energies, eV per atom: -0.38
Magnetic moment, μB/f.u.: 0.000
Crystal system: cubic

***

4.
Tb2SbS2 after structural relaxation, computed with PBE-GGA.

Cell lengths 9.327, 10.563, 6.751 Å; angles 90.00, 122.69, 90.00 degrees
Space group C2/c (No. 15)
Unique sites:
Tb: 0.000 0.091 0.250 (multiplicity 4)
Tb: 0.000 0.318 0.750 (multiplicity 4)
Sb: 0.000 0.379 0.250 (multiplicity 4)
S: 0.171 0.105 0.032 (multiplicity 8)

Values from the calculation:
Electronic total energy, eV/atom: -5.738
Formation energy from raw total energies, eV per atom: -1.41
Magnetic moment, μB/f.u.: 0.000
Crystal system: monoclinic

***

5.
Bi2Pb after structural relaxation, computed with PBE-GGA.

Cell lengths 4.622, 6.651, 7.062 Å; angles 90.00, 90.00, 90.00 degrees
Space group Pmmn (No. 59, origin choice 2)
Unique sites:
Bi: 0.250 0.007 0.164 (multiplicity 4)
Pb: 0.250 0.750 0.576 (multiplicity 2)

Values from the calculation:
Electronic total energy, eV/atom: -3.739
E_form, kJ/mol of formula units: 24
Magnetic moment, μB/f.u.: 0.000
Crystal system: orthorhombic

***

6.
CaMn2Cu2 after structural relaxation, computed with PBE-GGA.

Cell lengths 7.566, 7.566, 2.840 Å; angles 90.00, 90.00, 90.00 degrees
Space group P4/mbm (No. 127)
Unique sites:
Ca: 0.000 0.000 0.000 (multiplicity 2)
Mn: 0.130 0.370 0.000 (multiplicity 4)
Cu: 0.163 0.663 0.500 (multiplicity 4)

Values from the calculation:
Electronic total energy, eV/atom: -5.475
E_form, kJ/mol of formula units: 112
Magnetic moment, μB/f.u.: 7.398
Crystal system: tetragonal

***

7.
La3NdHo5 after structural relaxation, computed with PBE-GGA.

Cell lengths 12.436, 8.263, 12.759 Å; angles 90.00, 99.58, 90.00 degrees
Space group C2/m (No. 12)
Unique sites:
La: 0.000 0.000 0.000 (multiplicity 2)
La: 0.000 0.000 0.500 (multiplicity 2)
La: 0.122 0.500 0.214 (multiplicity 4)
La: 0.232 0.500 0.465 (multiplicity 4)
Nd: 0.141 0.000 0.263 (multiplicity 4)
Ho: 0.000 0.321 0.000 (multiplicity 4)
Ho: 0.053 0.500 0.624 (multiplicity 4)
Ho: 0.130 0.198 0.782 (multiplicity 8)
Ho: 0.241 0.500 0.978 (multiplicity 4)

Values from the calculation:
Electronic total energy, eV/atom: -4.296
E_form, kJ/mol of formula units: 364
Magnetic moment, μB/f.u.: 0.000
Crystal system: monoclinic

***

8.
PmCu4Pb after structural relaxation, computed with PBE-GGA.

Cell lengths 7.459, 7.459, 7.459 Å; angles 90.00, 90.00, 90.00 degrees
Space group F-43m (No. 216)
Unique sites:
Pm: 0.000 0.000 0.000 (multiplicity 4)
Cu: 0.126 0.126 0.626 (multiplicity 16)
Pb: 0.250 0.250 0.250 (multiplicity 4)

Values from the calculation:
Electronic total energy, eV/atom: -4.241
E_form, kJ/mol of formula units: -58
Magnetic moment, μB/f.u.: 0.000
Crystal system: cubic